No. 1
8
Lattice="3.5234 0.0000 0.0000 0.0000 3.5234 0.0000 0.0000 0.0000 12.8509" Properties=species:S:1:pos:R:3 comment="PBE ZnRe2Cl, optimized geometry" e_above_lowest_polymorph_kcal_per_mol_atoms=25.15 pbc="T T T"
Zn 0.0000 0.0000 0.0000
Zn 1.7617 1.7617 6.4255
Re 0.0000 1.7617 3.2127
Re 0.0000 1.7617 9.6382
Re 1.7617 0.0000 3.2127
Re 1.7617 0.0000 9.6382
Cl 0.0000 0.0000 6.4255
Cl 1.7617 1.7617 0.0000

---

No. 2
First-principles (PBE) data for a relaxed structure of KNi2BP, as listed in Alexandria.

```
5
Lattice="3.9905 0.0000 0.0000 0.0000 3.9905 0.0000 0.0000 0.0000 5.1453" Properties=species:S:1:pos:R:3 pbc="T T T"
K 0.0000 0.0000 0.0000
Ni 0.0000 1.9953 2.5726
Ni 1.9953 0.0000 2.5726
B 0.0000 0.0000 2.5726
P 1.9953 1.9953 0.0000
```

---

No. 3
9
Lattice="5.2391 0.0000 0.0000 -2.6196 4.5372 0.0000 0.0000 0.0000 8.9589" Properties=species:S:1:pos:R:3 comment="PBE PmAlAu, optimized geometry" e_above_lowest_polymorph_kcal_per_mol_atoms=6.03 pbc="T T T"
Pm 0.0000 0.0000 0.0000
Pm 0.0000 3.0248 5.9726
Pm 2.6196 1.5124 2.9863
Al 0.0000 0.0000 5.6264
Al 0.0000 3.0248 2.6401
Al 2.6196 1.5124 8.6127
Au 0.0000 0.0000 3.0999
Au 0.0000 3.0248 0.1136
Au 2.6196 1.5124 6.0862

---

| no. | calculated total energy (eV per atom) |
| --- | --- |
| 1 | -5.84 |
| 2 | -4.14 |
| 3 | -4.42 |